(1)
VASP calculation (GGA-PBE) on a relaxed structure of SmThGeOs.

density of states at the Fermi level	0.704	states/eV per atom
crystal system	orthorhombic
symmetry	Amm2, No. 38
ΔH_f (0 K)	-2.34	eV/f.u.
magnetization	0.000	μB per cell

Lattice parameters (Å, degrees): 4.1506 4.0260 6.1043 90.00 109.88 90.00
Sites, in units of the cell vectors:
Os (0.4157, 0.0000, 0.8314)
Ge (0.5720, 0.5000, 0.1439)
Th (0.8687, 0.5000, 0.7374)
Sm (0.1436, 0.0000, 0.2873)

(2)
VASP calculation (GGA-PBE) on a relaxed structure of SnGeOs2.

density of states at the Fermi level	0.775	states/eV per atom
crystal system	tetragonal
symmetry	I-42d, No. 122
ΔH_f (0 K)	4.82	eV/f.u.
magnetization	0.000	μB per cell

Lattice parameters (Å, degrees): 5.8949 5.8949 6.9001 64.71 64.71 90.00
Sites, in units of the cell vectors:
Os (0.1556, 0.6250, 0.2500)
Os (0.3750, 0.4056, 0.7500)
Os (0.8750, 0.8444, 0.7500)
Os (0.5944, 0.1250, 0.2500)
Ge (0.5000, 0.5000, 0.0000)
Ge (0.2500, 0.7500, 0.5000)
Sn (0.0000, 0.0000, 0.0000)
Sn (0.7500, 0.2500, 0.5000)

(3)
VASP calculation (GGA-PBE) on a relaxed structure of SnGeOs3.

density of states at the Fermi level	1.647	states/eV per atom
crystal system	cubic
symmetry	Pm-3m, No. 221
ΔH_f (0 K)	13.26	eV/f.u.
magnetization	3.486	μB per cell

Lattice parameters (Å, degrees): 4.8752 4.8752 4.8752 90.00 90.00 90.00
Last column: magnetic moment on the atom in μB.
Sites, in units of the cell vectors:
Ge (0.5000, 0.5000, 0.5000)  -0.04
Os (0.5000, 0.0000, 0.0000)  0.96
Os (0.0000, 0.0000, 0.5000)  1.24
Os (0.0000, 0.5000, 0.0000)  1.12
Sn (0.0000, 0.0000, 0.0000)  -0.04